{"formula": "KZr2As", "functional": "PBE", "state": "relaxed", "lattice": [[3.5811, 0.0000, 0.0000], [0.0000, 3.5811, 0.0000], [0.0000, 0.0000, 8.8892]], "species": ["K", "Zr", "Zr", "As"], "frac_coords": [[0.0000, 0.0000, 0.0000], [0.0000, 0.0000, 0.5965], [0.5000, 0.5000, 0.3902], [0.5000, 0.5000, 0.7172]], "ef_ev_per_atom": -0.285, "dos_at_fermi_per_ev_cell": 1.3}